# 1
PrGdSn | GGA-PBE | optimized geometry

```
PrGdSn
1.0
7.445 0.000 0.000
0.000 7.445 0.000
0.000 0.000 7.445
Pr Gd Sn
4 4 4
Direct
0.000 0.000 0.000
0.000 0.500 0.500
0.500 0.000 0.500
0.500 0.500 0.000
0.000 0.000 0.500
0.000 0.500 0.000
0.500 0.000 0.000
0.500 0.500 0.500
0.250 0.250 0.750
0.250 0.750 0.250
0.750 0.250 0.250
0.750 0.750 0.750
```

Calculated values
* E: -58.84 eV for the cell shown
* calculated volume: 34.4 Å³ per atom
* excess energy over the best structure of this formula in the dataset: 0 meV per atom

***

# 2
Pr2GdSn7 | GGA-PBE | optimized geometry

```
Pr2GdSn7
1.0
2.274 -13.031 0.000
2.274 13.031 0.000
0.000 0.000 4.634
Pr Gd Sn
2 1 7
Direct
0.185 0.815 0.000
0.815 0.185 0.000
0.000 0.000 0.000
0.094 0.906 0.500
0.289 0.711 0.500
0.406 0.594 0.000
0.500 0.500 0.500
0.594 0.406 0.000
0.711 0.289 0.500
0.906 0.094 0.500
```

Calculated values
* E: -48.06 eV for the cell shown
* calculated volume: 27.5 Å³ per atom

***

# 3
PrGdZn2Sn2 | GGA-PBE | optimized geometry

```
PrGdZn2Sn2
1.0
4.557 0.000 0.000
-2.278 3.946 0.000
0.000 0.000 16.246
Pr Gd Zn Sn
2 2 4 4
Direct
0.000 0.000 0.000
0.000 0.000 0.500
0.000 0.000 0.250
0.000 0.000 0.750
0.333 0.667 0.161
0.333 0.667 0.339
0.667 0.333 0.661
0.667 0.333 0.839
0.333 0.667 0.618
0.333 0.667 0.882
0.667 0.333 0.118
0.667 0.333 0.382
```

Calculated values
* E: -47.60 eV for the cell shown
* calculated volume: 24.3 Å³ per atom
* excess energy over the best structure of this formula in the dataset: 0 meV per atom

***

# 4
TbPrGd | GGA-PBE | optimized geometry

```
TbPrGd
1.0
7.783 0.000 0.000
0.000 7.783 0.000
0.000 0.000 7.783
Tb Pr Gd
4 4 4
Direct
0.000 0.000 0.000
0.000 0.500 0.500
0.500 0.000 0.500
0.500 0.500 0.000
0.250 0.250 0.750
0.250 0.750 0.250
0.750 0.250 0.250
0.750 0.750 0.750
0.000 0.000 0.500
0.000 0.500 0.000
0.500 0.000 0.000
0.500 0.500 0.500
```

Calculated values
* ΔH_f (0 K): 757 meV/atom
* E: -47.15 eV for the cell shown
* calculated volume: 39.3 Å³ per atom

***

# 5
PrGdTe6 | GGA-PBE | optimized geometry

```
PrGdTe6
1.0
4.371 0.000 0.000
0.000 4.369 0.000
0.000 0.000 26.804
Pr Gd Te
2 2 12
Direct
0.000 0.000 0.000
0.000 0.500 0.500
0.500 0.000 0.658
0.500 0.500 0.158
0.000 0.000 0.124
0.000 0.000 0.403
0.000 0.000 0.753
0.000 0.500 0.253
0.000 0.500 0.624
0.000 0.500 0.903
0.500 0.000 0.253
0.500 0.000 0.538
0.500 0.000 0.903
0.500 0.500 0.038
0.500 0.500 0.403
0.500 0.500 0.753
```

Calculated values
* E: -72.14 eV for the cell shown
* calculated volume: 32.0 Å³ per atom

***

# 6
PrGdTe | GGA-PBE | optimized geometry

```
PrGdTe
1.0
7.329 0.000 0.000
0.000 7.329 0.000
0.000 0.000 7.329
Pr Gd Te
4 4 4
Direct
0.000 0.000 0.000
0.000 0.500 0.500
0.500 0.000 0.500
0.500 0.500 0.000
0.000 0.000 0.500
0.000 0.500 0.000
0.500 0.000 0.000
0.500 0.500 0.500
0.250 0.250 0.750
0.250 0.750 0.250
0.750 0.250 0.250
0.750 0.750 0.750
```

Calculated values
* E: -57.83 eV for the cell shown
* calculated volume: 32.8 Å³ per atom
* excess energy over the best structure of this formula in the dataset: 0 meV per atom

***

# 7
PrGdTh | GGA-PBE | optimized geometry

```
PrGdTh
1.0
7.637 0.000 0.000
0.000 7.637 0.000
0.000 0.000 7.637
Pr Gd Th
4 4 4
Direct
0.000 0.000 0.000
0.000 0.500 0.500
0.500 0.000 0.500
0.500 0.500 0.000
0.250 0.250 0.750
0.250 0.750 0.250
0.750 0.250 0.250
0.750 0.750 0.750
0.250 0.250 0.250
0.250 0.750 0.750
0.750 0.250 0.750
0.750 0.750 0.250
```

Calculated values
* ΔH_f (0 K): 807 meV/atom
* E: -57.68 eV for the cell shown
* calculated volume: 37.1 Å³ per atom

***

# 8
PrGdTl | GGA-PBE | optimized geometry

```
PrGdTl
1.0
7.466 0.000 0.000
0.000 7.466 0.000
0.000 0.000 7.466
Pr Gd Tl
4 4 4
Direct
0.000 0.000 0.000
0.000 0.500 0.500
0.500 0.000 0.500
0.500 0.500 0.000
0.000 0.000 0.500
0.000 0.500 0.000
0.500 0.000 0.000
0.500 0.500 0.500
0.250 0.250 0.750
0.250 0.750 0.250
0.750 0.250 0.250
0.750 0.750 0.750
```

Calculated values
* E: -47.72 eV for the cell shown
* calculated volume: 34.7 Å³ per atom
* excess energy over the best structure of this formula in the dataset: 0 meV per atom

***

# 9
PrGdTm | GGA-PBE | optimized geometry

```
PrGdTm
1.0
7.731 0.000 0.000
0.000 7.731 0.000
0.000 0.000 7.731
Pr Gd Tm
4 4 4
Direct
0.000 0.000 0.000
0.000 0.500 0.500
0.500 0.000 0.500
0.500 0.500 0.000
0.000 0.000 0.500
0.000 0.500 0.000
0.500 0.000 0.000
0.500 0.500 0.500
0.250 0.250 0.750
0.250 0.750 0.250
0.750 0.250 0.250
0.750 0.750 0.750
```

Calculated values
* ΔH_f (0 K): 694 meV/atom
* E: -47.29 eV for the cell shown
* calculated volume: 38.5 Å³ per atom
* excess energy over the best structure of this formula in the dataset: 0 meV per atom

***

# 10
PrGdU | GGA-PBE | optimized geometry

```
PrGdU
1.0
7.514 0.000 0.000
0.000 7.514 0.000
0.000 0.000 7.514
Pr Gd U
4 4 4
Direct
0.000 0.000 0.000
0.000 0.500 0.500
0.500 0.000 0.500
0.500 0.500 0.000
0.000 0.000 0.500
0.000 0.500 0.000
0.500 0.000 0.000
0.500 0.500 0.500
0.250 0.250 0.750
0.250 0.750 0.250
0.750 0.250 0.250
0.750 0.750 0.750
```

Calculated values
* ΔH_f (0 K): 1248 meV/atom
* E: -67.92 eV for the cell shown
* calculated volume: 35.4 Å³ per atom
* excess energy over the best structure of this formula in the dataset: 0 meV per atom

***

# 11
PrGdW | GGA-PBE | optimized geometry

```
PrGdW
1.0
6.961 0.000 0.000
0.000 6.961 0.000
0.000 0.000 6.961
Pr Gd W
4 4 4
Direct
0.000 0.000 0.000
0.000 0.500 0.500
0.500 0.000 0.500
0.500 0.500 0.000
0.250 0.250 0.250
0.250 0.750 0.750
0.750 0.250 0.750
0.750 0.750 0.250
0.000 0.000 0.500
0.000 0.500 0.000
0.500 0.000 0.000
0.500 0.500 0.500
```

Calculated values
* ΔH_f (0 K): 1439 meV/atom
* E: -72.29 eV for the cell shown
* calculated volume: 28.1 Å³ per atom

***

# 12
PrGdY | GGA-PBE | optimized geometry

```
PrGdY
1.0
7.834 0.000 0.000
0.000 7.834 0.000
0.000 0.000 7.834
Pr Gd Y
4 4 4
Direct
0.000 0.000 0.000
0.000 0.500 0.500
0.500 0.000 0.500
0.500 0.500 0.000
0.000 0.000 0.500
0.000 0.500 0.000
0.500 0.000 0.000
0.500 0.500 0.500
0.250 0.250 0.750
0.250 0.750 0.250
0.750 0.250 0.250
0.750 0.750 0.750
```

Calculated values
* ΔH_f (0 K): 732 meV/atom
* E: -54.80 eV for the cell shown
* calculated volume: 40.1 Å³ per atom
* excess energy over the best structure of this formula in the dataset: 0 meV per atom